[1]
# TeMoPb2, optimized geometry, DFT PBE
# Theoretical density: 9.85 Mg/m³
# Formation energy (no corrections): 404.9 meV/atom
# N(E_F): 7.20 states/eV/cell
data_TeMoPb2
_cell_length_a 3.339
_cell_length_b 4.538
_cell_length_c 14.197
_cell_angle_alpha 90.00
_cell_angle_beta 90.00
_cell_angle_gamma 90.00
_space_group_name_H-M_alt 'I m m m'
_space_group_IT_number 71
_space_group_name_Hall '-I 2 2'
loop_
_atom_site_label
_atom_site_fract_x
_atom_site_fract_y
_atom_site_fract_z
_atom_site_occupancy
Te1 0.000 0.000 0.000 1
Mo1 0.000 0.000 0.500 1
Pb1 0.000 0.500 0.181 1



[2]
# NiBi2HAu, optimized geometry, DFT PBE
# Theoretical density: 10.55 Mg/m³
# N(E_F): 3.21 states/eV/cell
# Offset from the most stable computed form: 0.310 eV/atom
data_NiBi2HAu
_cell_length_a 5.643
_cell_length_b 5.643
_cell_length_c 3.336
_cell_angle_alpha 90.00
_cell_angle_beta 90.00
_cell_angle_gamma 90.00
_space_group_name_H-M_alt 'P 4/m m m'
_space_group_IT_number 123
_space_group_name_Hall '-P 4 2'
loop_
_atom_site_label
_atom_site_fract_x
_atom_site_fract_y
_atom_site_fract_z
_atom_site_occupancy
Ni1 0.000 0.000 0.000 1
Bi1 0.000 0.500 0.500 1
H1 0.500 0.500 0.000 1
Au1 0.500 0.500 0.500 1



[3]
# TbNd5Sc, optimized geometry, DFT PBE
# Raw total energy: -4.072 eV per atom
# Theoretical density: 5.04 Mg/m³
# N(E_F): 25.31 states/eV/cell
data_TbNd5Sc
_cell_length_a 5.823
_cell_length_b 8.699
_cell_length_c 12.026
_cell_angle_alpha 90.00
_cell_angle_beta 90.00
_cell_angle_gamma 90.00
_space_group_name_H-M_alt 'I m m m'
_space_group_IT_number 71
_space_group_name_Hall '-I 2 2'
loop_
_atom_site_label
_atom_site_fract_x
_atom_site_fract_y
_atom_site_fract_z
_atom_site_occupancy
Tb1 0.000 0.000 0.000 1
Nd1 0.000 0.000 0.255 1
Nd2 0.000 0.317 0.500 1
Nd3 0.000 0.500 0.000 1
Sc1 0.000 0.000 0.500 1



[4]
# PmTmMgOs, optimized geometry, DFT PBE
# Theoretical density: 8.77 Mg/m³
# N(E_F): 2.63 states/eV/cell
# Offset from the most stable computed form: 0.000 eV/atom
data_PmTmMgOs
_cell_length_a 3.408
_cell_length_b 3.408
_cell_length_c 8.612
_cell_angle_alpha 90.00
_cell_angle_beta 90.00
_cell_angle_gamma 90.00
_space_group_name_H-M_alt 'P 4 m m'
_space_group_IT_number 99
_space_group_name_Hall 'P 4 -2'
loop_
_atom_site_label
_atom_site_fract_x
_atom_site_fract_y
_atom_site_fract_z
_atom_site_occupancy
Pm1 0.000 0.000 0.000 1
Tm1 0.000 0.000 0.610 1
Mg1 0.500 0.500 0.315 1
Os1 0.500 0.500 0.794 1



[5]
# Tm8Ag3Sn2, optimized geometry, DFT PBE
# Raw total energy: -4.214 eV per atom
# Theoretical density: 8.87 Mg/m³
# N(E_F): 24.33 states/eV/cell
data_Tm8Ag3Sn2
_cell_length_a 8.659
_cell_length_b 15.561
_cell_length_c 5.315
_cell_angle_alpha 90.00
_cell_angle_beta 90.00
_cell_angle_gamma 90.00
_space_group_name_H-M_alt 'C m m m'
_space_group_IT_number 65
_space_group_name_Hall '-C 2 2'
loop_
_atom_site_label
_atom_site_fract_x
_atom_site_fract_y
_atom_site_fract_z
_atom_site_occupancy
Tm1 0.000 0.109 0.000 1
Tm2 0.000 0.332 0.000 1
Tm3 0.218 0.388 0.500 1
Ag1 0.000 0.000 0.500 1
Ag2 0.188 0.500 0.000 1
Sn1 0.000 0.229 0.500 1